# 1
# Rb2ZnBO4, optimized geometry, DFT PBE
data_Rb2ZnBO4
_chemical_formula_sum 'Rb16 Zn8 B8 O32'
_cell_length_a 4.8146
_cell_length_b 11.4439
_cell_length_c 20.9633
_cell_angle_alpha 90.00
_cell_angle_beta 90.00
_cell_angle_gamma 90.00
_symmetry_space_group_name_H-M 'F d d d'
_symmetry_Int_Tables_number 70
loop_
_symmetry_equiv_pos_as_xyz
'x,y,z'
'-x,-y,-z'
'-x+1/4,-y+1/4,z'
'x+1/4,y+1/4,-z'
'x,-y+1/4,-z+1/4'
'-x,y+1/4,z+1/4'
'-x+1/4,y,-z+1/4'
'x+1/4,-y,z+1/4'
'x,y+1/2,z+1/2'
'-x,-y+1/2,-z+1/2'
'-x+1/4,-y+3/4,z+1/2'
'x+1/4,y+3/4,-z+1/2'
'x,-y+3/4,-z+3/4'
'-x,y+3/4,z+3/4'
'-x+1/4,y+1/2,-z+3/4'
'x+1/4,-y+1/2,z+3/4'
'x+1/2,y,z+1/2'
'-x+1/2,-y,-z+1/2'
'-x+3/4,-y+1/4,z+1/2'
'x+3/4,y+1/4,-z+1/2'
'x+1/2,-y+1/4,-z+3/4'
'-x+1/2,y+1/4,z+3/4'
'-x+3/4,y,-z+3/4'
'x+3/4,-y,z+3/4'
'x+1/2,y+1/2,z'
'-x+1/2,-y+1/2,-z'
'-x+3/4,-y+3/4,z'
'x+3/4,y+3/4,-z'
'x+1/2,-y+3/4,-z+1/4'
'-x+1/2,y+3/4,z+1/4'
'-x+3/4,y+1/2,-z+1/4'
'x+3/4,-y+1/2,z+1/4'
loop_
_atom_site_label
_atom_site_type_symbol
_atom_site_fract_x
_atom_site_fract_y
_atom_site_fract_z
Rb1 Rb 0.1250 0.1250 0.2991
Zn1 Zn 0.1250 0.1250 0.1250
B1 B 0.1250 0.1250 0.6250
O1 O 0.0607 0.2996 0.8349
# Final energy   -338.71 eV for the cell shown


# 2
# Rb3ZnB5O10, optimized geometry, DFT PBE
data_Rb3ZnB5O10
_chemical_formula_sum 'Rb12 Zn4 B20 O40'
_cell_length_a 10.5032
_cell_length_b 9.5594
_cell_length_c 13.8108
_cell_angle_alpha 90.00
_cell_angle_beta 122.61
_cell_angle_gamma 90.00
_symmetry_space_group_name_H-M 'P 1 21/c 1'
_symmetry_Int_Tables_number 14
loop_
_symmetry_equiv_pos_as_xyz
'x,y,z'
'-x,-y,-z'
'-x,y+1/2,-z+1/2'
'x,-y+1/2,z+1/2'
loop_
_atom_site_label
_atom_site_type_symbol
_atom_site_fract_x
_atom_site_fract_y
_atom_site_fract_z
Rb1 Rb 0.0149 0.1405 0.3444
Rb2 Rb 0.3098 0.5729 0.8034
Rb3 Rb 0.4351 0.1616 0.8834
Zn1 Zn 0.3308 0.1897 0.0758
B1 B 0.0818 0.1821 0.1104
B2 B 0.1440 0.5426 0.4362
B3 B 0.1785 0.7166 0.0230
B4 B 0.3208 0.0090 0.5492
B5 B 0.3718 0.6201 0.2212
O1 O 0.0125 0.7162 0.9656
O2 O 0.0150 0.0681 0.1341
O3 O 0.1978 0.0836 0.9307
O4 O 0.2237 0.5961 0.9794
O5 O 0.2346 0.1856 0.1651
O6 O 0.2352 0.6517 0.5038
O7 O 0.2466 0.7020 0.1494
O8 O 0.3367 0.1281 0.5040
O9 O 0.4082 0.5121 0.1699
O10 O 0.4535 0.6374 0.3363
# Final energy   -521.23 eV for the cell shown


# 3
# RbZrB2O6, optimized geometry, DFT PBE
data_RbZrB2O6
_chemical_formula_sum 'Rb4 Zr4 B8 O24'
_cell_length_a 8.7954
_cell_length_b 9.7592
_cell_length_c 7.5263
_cell_angle_alpha 90.00
_cell_angle_beta 106.55
_cell_angle_gamma 90.00
_symmetry_space_group_name_H-M 'C 1 2/c 1'
_symmetry_Int_Tables_number 15
loop_
_symmetry_equiv_pos_as_xyz
'x,y,z'
'-x,-y,-z'
'-x,y,-z+1/2'
'x,-y,z+1/2'
'x+1/2,y+1/2,z'
'-x+1/2,-y+1/2,-z'
'-x+1/2,y+1/2,-z+1/2'
'x+1/2,-y+1/2,z+1/2'
loop_
_atom_site_label
_atom_site_type_symbol
_atom_site_fract_x
_atom_site_fract_y
_atom_site_fract_z
Rb1 Rb 0.0000 0.1132 0.2500
Zr1 Zr 0.0000 0.3188 0.7500
B1 B 0.1974 0.3998 0.1774
O1 O 0.0882 0.3302 0.0394
O2 O 0.1614 0.1619 0.7334
O3 O 0.1644 0.4700 0.7231
# Final energy   -309.07 eV for the cell shown


# 4
# ReB2O, optimized geometry, DFT PBE
data_ReB2O
_chemical_formula_sum 'Re4 B8 O4'
_cell_length_a 4.8553
_cell_length_b 4.8553
_cell_length_c 6.2003
_cell_angle_alpha 90.00
_cell_angle_beta 90.00
_cell_angle_gamma 90.00
_symmetry_space_group_name_H-M 'I -4 2 d'
_symmetry_Int_Tables_number 122
_symmetry_space_group_name_Hall 'I -4 2bw'
loop_
_atom_site_label
_atom_site_type_symbol
_atom_site_fract_x
_atom_site_fract_y
_atom_site_fract_z
Re1 Re 0.0000 0.0000 0.0000
B1 B 0.1501 0.7500 0.6250
O1 O 0.0000 0.0000 0.5000
# Final energy   -119.90 eV for the cell shown


# 5
# Re2BO, optimized geometry, DFT PBE
data_Re2BO
_chemical_formula_sum 'Re8 B4 O4'
_cell_length_a 3.9908
_cell_length_b 3.9908
_cell_length_c 12.3957
_cell_angle_alpha 90.00
_cell_angle_beta 90.00
_cell_angle_gamma 90.00
_symmetry_space_group_name_H-M 'I -4 2 d'
_symmetry_Int_Tables_number 122
_symmetry_space_group_name_Hall 'I -4 2bw'
loop_
_atom_site_label
_atom_site_type_symbol
_atom_site_fract_x
_atom_site_fract_y
_atom_site_fract_z
Re1 Re 0.2280 0.2500 0.1250
B1 B 0.0000 0.0000 0.5000
O1 O 0.0000 0.0000 0.0000
# Final energy   -140.77 eV for the cell shown
# ΔE to the lowest computed polymorph   0 meV/atom


# 6
# ReB3O, optimized geometry, DFT PBE
data_ReB3O
_chemical_formula_sum 'Re1 B3 O1'
_cell_length_a 3.4823
_cell_length_b 3.4823
_cell_length_c 3.4823
_cell_angle_alpha 90.00
_cell_angle_beta 90.00
_cell_angle_gamma 90.00
_symmetry_space_group_name_H-M 'P m -3 m'
_symmetry_Int_Tables_number 221
_symmetry_space_group_name_Hall '-P 4 2 3'
loop_
_atom_site_label
_atom_site_type_symbol
_atom_site_fract_x
_atom_site_fract_y
_atom_site_fract_z
Re1 Re 0.0000 0.0000 0.0000
B1 B 0.0000 0.5000 0.5000
O1 O 0.5000 0.5000 0.5000
# Final energy   -31.65 eV for the cell shown
# ΔE to the lowest computed polymorph   0 meV/atom


| no. | E_form (uncorrected) (eV per atom) |
| --- | --- |
| 1 | -1.577 |
| 2 | -2.272 |
| 3 | -2.465 |
| 4 | 0.196 |
| 5 | 0.335 |
| 6 | 1.157 |